# FeSCl2 | the Alexandria database | PBE | optimized geometry
# * space group: R-3m, No. 166
# * formation energy from raw total energies: 0.361 eV/atom
data_FeSCl2
_chemical_formula_sum 'Fe1 S1 Cl2'
_symmetry_space_group_name_H-M 'P 1'
_symmetry_Int_Tables_number 1
_symmetry_space_group_name_Hall 'P 1'
_cell_length_a 7.547
_cell_length_b 7.547
_cell_length_c 7.547
_cell_angle_alpha 26.32
_cell_angle_beta 26.32
_cell_angle_gamma 26.32
loop_
_atom_site_label
_atom_site_type_symbol
_atom_site_fract_x
_atom_site_fract_y
_atom_site_fract_z
S1 S 0.000 0.000 0.000
Cl1 Cl 0.111 0.111 0.111
Fe1 Fe 0.500 0.500 0.500
Cl2 Cl 0.889 0.889 0.889

# RbLaSb3 | the Alexandria database | PBE | optimized geometry
# * space group: Pm-3m, No. 221
# * formation energy from raw total energies: 0.713 eV/atom
data_RbLaSb3
_chemical_formula_sum 'Rb1 La1 Sb3'
_symmetry_space_group_name_H-M 'P 1'
_symmetry_Int_Tables_number 1
_symmetry_space_group_name_Hall 'P 1'
_cell_length_a 5.787
_cell_length_b 5.787
_cell_length_c 5.787
_cell_angle_alpha 90.00
_cell_angle_beta 90.00
_cell_angle_gamma 90.00
loop_
_atom_site_label
_atom_site_type_symbol
_atom_site_fract_x
_atom_site_fract_y
_atom_site_fract_z
Rb1 Rb 0.000 0.000 0.000
La1 La 0.500 0.500 0.500
Sb1 Sb 0.000 0.000 0.500
Sb2 Sb 0.500 0.000 0.000
Sb3 Sb 0.000 0.500 0.000

# Ce2Sm3Si4 | the Alexandria database | PBE | optimized geometry
# * space group: P2_1/c, No. 14
# * formation energy from raw total energies: -0.654 eV/atom
data_Ce2Sm3Si4
_chemical_formula_sum 'Ce4 Sm6 Si8'
_symmetry_space_group_name_H-M 'P 1'
_symmetry_Int_Tables_number 1
_symmetry_space_group_name_Hall 'P 1'
_cell_length_a 7.619
_cell_length_b 7.822
_cell_length_c 7.863
_cell_angle_alpha 90.00
_cell_angle_beta 90.00
_cell_angle_gamma 105.79
loop_
_atom_site_label
_atom_site_type_symbol
_atom_site_fract_x
_atom_site_fract_y
_atom_site_fract_z
Si1 Si 0.616 0.919 0.024
Ce1 Ce 0.591 0.201 0.318
Si2 Si 0.383 0.491 0.385
Ce2 Ce 0.091 0.201 0.182
Sm1 Sm 0.746 0.759 0.317
Si3 Si 0.384 0.081 0.976
Sm2 Sm 0.254 0.241 0.683
Sm3 Sm 0.246 0.759 0.183
Sm4 Sm 0.754 0.241 0.817
Si4 Si 0.117 0.509 0.885
Si5 Si 0.116 0.919 0.476
Si6 Si 0.883 0.491 0.115
Ce3 Ce 0.909 0.799 0.818
Sm5 Sm 0.500 0.500 0.000
Si7 Si 0.617 0.509 0.615
Ce4 Ce 0.409 0.799 0.682
Si8 Si 0.884 0.081 0.524
Sm6 Sm 0.000 0.500 0.500

- Which value of formation energy from raw total energies does entry 1 give?
  0.361 eV/atom